Record 1
Compound: AlInAs2
Source: Alexandria
Functional: PBE
Structure: relaxed

Structure (POSCAR):
```
AlInAs2
1.0
3.5113 0.0000 0.0000
0.0000 3.5113 0.0000
0.0000 0.0000 7.0154
Al In As
1 1 2
Direct
0.0000 0.0000 0.0000
0.0000 0.0000 0.5000
0.5000 0.5000 0.1842
0.5000 0.5000 0.8158
```

Values from the calculation:
magnetization	0.00	μB per cell
offset from the most stable computed form	440	meV/atom
crystal system	tetragonal
N(E_F)	1.8	states/eV per cell
calculated formation energy	0.31	eV per formula unit

---

Record 2
Compound: AlInAs2
Source: Alexandria
Functional: PBE
Structure: relaxed

Structure (POSCAR):
```
AlInAs2
1.0
1.8751 -2.4225 0.0000
1.8751 2.4225 0.0000
0.0000 0.0000 9.5006
Al In As
1 1 2
Direct
0.0000 0.0000 0.0000
0.5000 0.5000 0.7505
0.0000 0.0000 0.5150
0.5000 0.5000 0.1918
```

Values from the calculation:
magnetization	0.00	μB per cell
offset from the most stable computed form	609	meV/atom
crystal system	orthorhombic
N(E_F)	1.2	states/eV per cell
calculated formation energy	0.98	eV per formula unit

---

Record 3
Compound: AlIn2As
Source: Alexandria
Functional: PBE
Structure: relaxed

Structure (POSCAR):
```
AlIn2As
1.0
-1.8742 2.3312 5.4307
1.8742 -2.3312 5.4307
1.8742 2.3312 -5.4307
Al In As
1 2 1
Direct
0.0000 0.0000 0.0000
0.4489 0.4489 0.0000
0.7431 0.2431 0.5000
0.1606 0.6606 0.5000
```

Values from the calculation:
magnetization	0.00	μB per cell
offset from the most stable computed form	103	meV/atom
crystal system	orthorhombic
N(E_F)	1.1	states/eV per cell
calculated formation energy	0.22	eV per formula unit

---

Record 4
Compound: AlIn2As
Source: Alexandria
Functional: PBE
Structure: relaxed

Structure (POSCAR):
```
AlIn2As
1.0
0.0000 3.5647 3.5647
3.5647 0.0000 3.5647
3.5647 3.5647 0.0000
Al In As
1 2 1
Direct
0.0000 0.0000 0.0000
0.5000 0.5000 0.5000
0.7500 0.7500 0.7500
0.2500 0.2500 0.2500
```

Values from the calculation:
magnetization	0.00	μB per cell
offset from the most stable computed form	275	meV/atom
crystal system	cubic
N(E_F)	2.9	states/eV per cell
calculated formation energy	0.91	eV per formula unit

---

Record 5
Compound: AlInAs2
Source: Alexandria
Functional: PBE
Structure: relaxed

Structure (POSCAR):
```
AlInAs2
1.0
1.9315 1.1151 6.5630
-1.9315 1.1151 6.5630
0.0000 -2.2302 6.5630
Al In As
1 1 2
Direct
0.0000 0.0000 0.0000
0.5000 0.5000 0.5000
0.2602 0.2602 0.2602
0.7398 0.7398 0.7398
```

Values from the calculation:
magnetization	0.00	μB per cell
offset from the most stable computed form	239	meV/atom
crystal system	trigonal
N(E_F)	2.5	states/eV per cell
calculated formation energy	-0.49	eV per formula unit

---

Record 6
Compound: AlInAs2
Source: Alexandria
Functional: PBE
Structure: relaxed

Structure (POSCAR):
```
AlInAs2
1.0
-2.5988 2.5988 3.0511
2.5988 -2.5988 3.0511
2.5988 2.5988 -3.0511
Al In As
1 1 2
Direct
0.0000 0.0000 0.0000
0.5000 0.5000 0.0000
0.2500 0.7500 0.5000
0.7500 0.2500 0.5000
```

Values from the calculation:
magnetization	0.00	μB per cell
offset from the most stable computed form	565	meV/atom
crystal system	tetragonal
N(E_F)	2.0	states/eV per cell
calculated formation energy	0.81	eV per formula unit

---

Record 7
Compound: AlInAs2
Source: Alexandria
Functional: PBE
Structure: relaxed

Structure (POSCAR):
```
AlInAs2
1.0
3.9008 -3.9206 0.0000
3.9008 3.9206 0.0000
-0.0876 0.0000 2.8749
Al In As
1 1 2
Direct
0.0000 0.0000 0.0000
0.5000 0.5000 0.0000
0.0000 0.5000 0.0000
0.5000 0.0000 0.0000
```

Values from the calculation:
magnetization	0.00	μB per cell
offset from the most stable computed form	487	meV/atom
crystal system	monoclinic
N(E_F)	2.0	states/eV per cell
calculated formation energy	0.50	eV per formula unit

---

Record 8
Compound: AlInAs2O8
Source: Alexandria
Functional: PBE
Structure: relaxed

Structure (POSCAR):
```
AlInAs2O8
1.0
-3.3334 3.3334 3.1016
3.3334 -3.3334 3.1016
3.3334 3.3334 -3.1016
Al In As O
1 1 2 8
Direct
0.0000 0.0000 0.0000
0.2500 0.7500 0.5000
0.5000 0.5000 0.0000
0.7500 0.2500 0.5000
0.3044 0.1227 0.8183
0.3044 0.4861 0.1817
0.3713 0.0684 0.3029
0.5139 0.6956 0.8183
0.7655 0.0684 0.6971
0.8773 0.6956 0.1817
0.9316 0.2345 0.3029
0.9316 0.6287 0.6971
```

Values from the calculation:
magnetization	0.00	μB per cell
E_form (uncorrected)	-1474	meV per atom
crystal system	tetragonal
N(E_F)	0.0	states/eV per cell

---

Record 9
Compound: AlIn2AsP
Source: Alexandria
Functional: PBE
Structure: relaxed

Structure (POSCAR):
```
AlIn2AsP
1.0
5.4003 0.0000 0.0000
0.0000 5.4003 0.0000
0.0000 0.0000 4.7912
Al In As P
1 2 1 1
Direct
0.0000 0.0000 0.0000
0.0000 0.5000 0.5000
0.5000 0.0000 0.5000
0.5000 0.5000 0.5000
0.5000 0.5000 0.0000
```

Values from the calculation:
magnetization	0.00	μB per cell
crystal system	tetragonal
N(E_F)	3.2	states/eV per cell
calculated formation energy	3.26	eV per formula unit

---

Record 10
Compound: AlInAs2Se
Source: Alexandria
Functional: PBE
Structure: relaxed

Structure (POSCAR):
```
AlInAs2Se
1.0
4.9394 0.0000 0.0000
0.0000 4.9394 0.0000
0.0000 0.0000 5.0226
Al In As Se
1 1 2 1
Direct
0.0000 0.0000 0.0000
0.5000 0.5000 0.5000
0.0000 0.5000 0.0000
0.5000 0.0000 0.0000
0.0000 0.0000 0.5000
```

Values from the calculation:
magnetization	0.00	μB per cell
offset from the most stable computed form	0	meV/atom
E_form (uncorrected)	251	meV per atom
crystal system	tetragonal
N(E_F)	5.2	states/eV per cell

---

Record 11
Compound: AlInAs2Se
Source: Alexandria
Functional: PBE
Structure: relaxed

Structure (POSCAR):
```
AlInAs2Se
1.0
5.2563 0.0000 0.0000
0.0000 5.2563 0.0000
0.0000 0.0000 5.3673
Al In As Se
1 1 2 1
Direct
0.0000 0.0000 0.0000
0.5000 0.5000 0.5000
0.0000 0.5000 0.5000
0.5000 0.0000 0.5000
0.5000 0.5000 0.0000
```

Values from the calculation:
magnetization	1.03	μB per cell
offset from the most stable computed form	549	meV/atom
E_form (uncorrected)	800	meV per atom
crystal system	tetragonal
N(E_F)	4.6	states/eV per cell

---

Record 12
Compound: ZrAlIn2As
Source: Alexandria
Functional: PBE
Structure: relaxed

Structure (POSCAR):
```
ZrAlIn2As
1.0
5.0486 0.0000 0.0000
0.0000 5.0486 0.0000
0.0000 0.0000 5.2399
Zr Al In As
1 1 2 1
Direct
0.0000 0.0000 0.0000
0.0000 0.0000 0.5000
0.0000 0.5000 0.5000
0.5000 0.0000 0.5000
0.5000 0.5000 0.0000
```

Values from the calculation:
magnetization	0.00	μB per cell
crystal system	tetragonal
N(E_F)	4.2	states/eV per cell
calculated formation energy	2.93	eV per formula unit

---

Record 13
Compound: Al2AsIr
Source: Alexandria
Functional: PBE
Structure: relaxed

Structure (POSCAR):
```
Al2AsIr
1.0
-1.9960 1.9960 3.9450
1.9960 -1.9960 3.9450
1.9960 1.9960 -3.9450
Al As Ir
2 1 1
Direct
0.0000 0.0000 0.0000
0.7500 0.2500 0.5000
0.2500 0.7500 0.5000
0.5000 0.5000 0.0000
```

Values from the calculation:
magnetization	0.00	μB per cell
crystal system	tetragonal
N(E_F)	1.5	states/eV per cell
calculated formation energy	-0.40	eV per formula unit

---

Record 14
Compound: Al2AsIr
Source: Alexandria
Functional: PBE
Structure: relaxed

Structure (POSCAR):
```
Al2AsIr
1.0
1.4975 0.8646 8.3446
-1.4975 0.8646 8.3446
0.0000 -1.7292 8.3446
Al As Ir
2 1 1
Direct
0.0000 0.0000 0.0000
0.2437 0.2437 0.2437
0.4897 0.4897 0.4897
0.7423 0.7423 0.7423
```

Values from the calculation:
magnetization	0.00	μB per cell
crystal system	trigonal
N(E_F)	1.7	states/eV per cell
calculated formation energy	-0.41	eV per formula unit

---

Record 15
Compound: Al2AsIr
Source: Alexandria
Functional: PBE
Structure: relaxed

Structure (POSCAR):
```
Al2AsIr
1.0
2.8927 0.0000 0.0000
0.0000 2.8927 0.0000
0.0000 0.0000 7.6731
Al As Ir
2 1 1
Direct
0.0000 0.0000 0.2106
0.0000 0.0000 0.7894
0.5000 0.5000 0.5000
0.5000 0.5000 0.0000
```

Values from the calculation:
magnetization	0.00	μB per cell
crystal system	tetragonal
N(E_F)	1.9	states/eV per cell
calculated formation energy	-1.43	eV per formula unit

---

Record 16
Compound: Al2AsIr
Source: Alexandria
Functional: PBE
Structure: relaxed

Structure (POSCAR):
```
Al2AsIr
1.0
4.8578 -1.4405 0.0000
4.8578 1.4405 0.0000
-1.2845 0.0000 4.5871
Al As Ir
2 1 1
Direct
0.0000 0.0000 0.0000
0.2149 0.2149 0.6431
0.4364 0.4364 0.4534
0.7338 0.7338 0.1065
```

Values from the calculation:
magnetization	0.00	μB per cell
crystal system	monoclinic
N(E_F)	1.8	states/eV per cell
calculated formation energy	-1.08	eV per formula unit

---

Record 17
Compound: Al2AsIr
Source: Alexandria
Functional: PBE
Structure: relaxed

Structure (POSCAR):
```
Al2AsIr
1.0
2.9297 0.0000 0.0000
0.0000 2.9297 0.0000
0.0000 0.0000 7.4667
Al As Ir
2 1 1
Direct
0.0000 0.0000 0.0000
0.5000 0.5000 0.2634
0.0000 0.0000 0.5517
0.5000 0.5000 0.7850
```

Values from the calculation:
magnetization	0.00	μB per cell
crystal system	tetragonal
N(E_F)	1.9	states/eV per cell
calculated formation energy	-0.66	eV per formula unit

---

Record 18
Compound: Al2AsIr
Source: Alexandria
Functional: PBE
Structure: relaxed

Structure (POSCAR):
```
Al2AsIr
1.0
-2.8390 2.8390 5.6541
2.8390 -2.8390 5.6541
2.8390 2.8390 -5.6541
Al As Ir
4 2 2
Direct
0.1133 0.6250 0.9883
0.3750 0.3633 0.4883
0.6367 0.1250 0.0117
0.8750 0.8867 0.5117
0.2500 0.7500 0.5000
0.5000 0.5000 0.0000
0.0000 0.0000 0.0000
0.7500 0.2500 0.5000
```

Values from the calculation:
magnetization	0.00	μB per cell
crystal system	tetragonal
N(E_F)	0.0	states/eV per cell
calculated formation energy	-0.04	eV per formula unit

---

Record 19
Compound: Al2AsIr
Source: Alexandria
Functional: PBE
Structure: relaxed

Structure (POSCAR):
```
Al2AsIr
1.0
3.2047 0.0000 0.0000
0.0000 3.7090 0.0000
0.0000 0.0000 5.4679
Al As Ir
2 1 1
Direct
0.0000 0.0000 0.0000
0.5000 0.5000 0.3121
0.0000 0.0000 0.5009
0.5000 0.5000 0.8578
```

Values from the calculation:
magnetization	0.00	μB per cell
crystal system	orthorhombic
N(E_F)	1.1	states/eV per cell
calculated formation energy	-0.91	eV per formula unit

---

Record 20
Compound: Al2AsIr
Source: Alexandria
Functional: PBE
Structure: relaxed

Structure (POSCAR):
```
Al2AsIr
1.0
2.8596 -3.7206 0.0000
2.8596 3.7206 0.0000
0.0000 0.0000 2.8675
Al As Ir
2 1 1
Direct
0.0000 0.5000 0.0000
0.5000 0.0000 0.0000
0.0000 0.0000 0.5000
0.5000 0.5000 0.5000
```

Values from the calculation:
magnetization	0.00	μB per cell
crystal system	orthorhombic
N(E_F)	1.4	states/eV per cell
calculated formation energy	-1.09	eV per formula unit